# CeSiRu

CeSiRu at its PBEsol-relaxed geometry (meta-GGA SCAN, Alexandria via LeMat-Bulk).

abc: 4.153 4.153 6.635
angles: 90.00 90.00 90.00
Fractional coordinates of all 6 atoms:
Ce 0.250 0.250 0.178
Ce 0.750 0.750 0.822
Si 0.250 0.250 0.689
Si 0.750 0.750 0.311
Ru 0.250 0.750 0.500
Ru 0.750 0.250 0.500

Summary:
Space-group type: P4/nmm, No. 129

# CeSi2Ru2

CeSi2Ru2 at its PBEsol-relaxed geometry (meta-GGA SCAN, Alexandria via LeMat-Bulk).

abc: 4.150 4.150 9.579
angles: 90.00 90.00 90.00
Fractional coordinates of all 10 atoms:
Ce 0.000 0.000 0.000
Ce 0.500 0.500 0.500
Si 0.000 0.000 0.369
Si 0.000 0.000 0.631
Si 0.500 0.500 0.131
Si 0.500 0.500 0.869
Ru 0.000 0.500 0.250
Ru 0.000 0.500 0.750
Ru 0.500 0.000 0.250
Ru 0.500 0.000 0.750

Summary:
Space-group type: I4/mmm, No. 139

Looking at formation energy from raw total energies for the records above, in order, we have -240, -463 kJ/mol of formula units.
Looking at E_tot for the records above, in order, we have -30.630, -27.809 eV per atom.